Entry from Alexandria via LeMat-Bulk: a geometry-optimized SrPmEuLu structure (PBE).

```
SrPmEuLu
1.0
0.000 4.233 4.233
4.233 0.000 4.233
4.233 4.233 0.000
Sr Pm Eu Lu
1 1 1 1
Direct
0.000 0.000 0.000
0.750 0.750 0.750
0.250 0.250 0.250
0.500 0.500 0.500
```

Results
uncorrected energy	-5.098	eV per atom
energy of formation	0.2091	eV/atom
SG	F-43m